Pu2Tl3FeSe6 | PBE | relaxed

The calculation puts the uncorrected formation energy at -9.243 eV/f.u. Its final energy is -148.8 eV/cell. The value obtained for the total magnetization is 13.43 μB per formula unit.

It has space group C2/m (No. 12), with a = 7.098 Å, b = 12.248 Å, c = 8.061 Å, α = 90.00°, β = 107.11° and γ = 90.00°. The asymmetric unit holds Pu at (0.000, 0.166, 0.000), Tl at (0.000, 0.000, 0.500), Tl at (0.000, 0.326, 0.500), Fe at (0.000, 0.500, 0.000), Se at (0.221, 0.344, 0.194) and Se at (0.249, 0.500, 0.797).

Pu2FeSi | PBE | relaxed

The calculation puts the uncorrected formation energy at -0.313 eV/f.u. Its final energy is -171.4 eV/cell. The value obtained for the total magnetization is 8.30 μB per formula unit.

It has space group Fm-3m (No. 225), with a = 6.828 Å, b = 6.828 Å, c = 6.828 Å, α = 90.00°, β = 90.00° and γ = 90.00°. The asymmetric unit holds Pu at (0.250, 0.250, 0.250), Fe at (0.000, 0.000, 0.000) and Si at (0.000, 0.000, 0.500).

Pu2Fe3Si | PBE | relaxed

The calculation puts the uncorrected formation energy at -1.652 eV/f.u. Its final energy is -122.3 eV/cell. The value obtained for the total magnetization is 6.00 μB per formula unit.

It has space group C2/m (No. 12), with a = 7.904 Å, b = 5.280 Å, c = 5.288 Å, α = 90.00°, β = 124.24° and γ = 90.00°. The asymmetric unit holds Pu at (0.120, 0.000, 0.366), Fe at (0.000, 0.500, 0.500), Fe at (0.250, 0.250, 0.000) and Si at (0.000, 0.500, 0.000).

Pu2FeSi3 | PBE | relaxed

The calculation puts the uncorrected formation energy at -2.825 eV/f.u. Its final energy is -449.8 eV/cell. The value obtained for the total magnetization is 8.84 μB per formula unit.

It has space group Fmmm (No. 69), with a = 7.734 Å, b = 8.160 Å, c = 13.969 Å, α = 90.00°, β = 90.00° and γ = 90.00°. The asymmetric unit holds Pu at (0.241, 0.000, 0.000), Pu at (0.250, 0.250, 0.250), Fe at (0.000, 0.000, 0.164), Si at (0.000, 0.000, 0.332) and Si at (0.000, 0.249, 0.416).

PuFe2Si3 | PBE | relaxed

The calculation puts the uncorrected formation energy at -2.939 eV/f.u. Its final energy is -201.9 eV/cell. The value obtained for the total magnetization is 5.45 μB per formula unit.

It has space group Cmcm (No. 63), with a = 9.465 Å, b = 7.176 Å, c = 5.095 Å, α = 90.00°, β = 90.00° and γ = 90.00°. The asymmetric unit holds Pu at (0.000, 0.150, 0.250), Fe at (0.199, 0.500, 0.000), Si at (0.000, 0.440, 0.750) and Si at (0.190, 0.217, 0.750).

Pu3Fe2Si3 | PBE | relaxed

The calculation puts the uncorrected formation energy at -3.157 eV/f.u. Its final energy is -317.4 eV/cell. The value obtained for the total magnetization is 2.56 μB per formula unit.

It has space group Cmcm (No. 63), with a = 4.114 Å, b = 9.975 Å, c = 13.535 Å, α = 90.00°, β = 90.00° and γ = 90.00°. The asymmetric unit holds Pu at (0.000, 0.074, 0.250), Pu at (0.000, 0.404, 0.120), Fe at (0.000, 0.285, 0.577), Si at (0.000, 0.109, 0.042) and Si at (0.000, 0.225, 0.750).

Q: Among the records above, which one has the highest uncorrected formation energy?
A: Pu2FeSi

Copy entry 6 word for word.
Pu3Fe2Si3 | PBE | relaxed

The calculation puts the uncorrected formation energy at -3.157 eV/f.u. Its final energy is -317.4 eV/cell. The value obtained for the total magnetization is 2.56 μB per formula unit.

It has space group Cmcm (No. 63), with a = 4.114 Å, b = 9.975 Å, c = 13.535 Å, α = 90.00°, β = 90.00° and γ = 90.00°. The asymmetric unit holds Pu at (0.000, 0.074, 0.250), Pu at (0.000, 0.404, 0.120), Fe at (0.000, 0.285, 0.577), Si at (0.000, 0.109, 0.042) and Si at (0.000, 0.225, 0.750).

Q: Among the records above, which one has the lowest final energy?
A: Pu2FeSi3